Here is a relaxed structure of OsSe2Cl from the Alexandria database. Energies are from PBE-GGA.

abc: 4.591 4.591 4.591
angles: 111.75 111.75 105.00
Fractional positions:
Os1 0.000 0.000 0.000
Se1 0.000 0.500 0.500
Se2 0.500 0.000 0.500
Cl1 0.500 0.500 0.000

Results
- Fermi-level density of states (states/eV/atom) = 0.697
- electronic total energy (eV/atom) = -4.1799
- spin magnetization (μB/cell) = 0.0
- ΔE to the lowest computed polymorph (eV per formula unit) = 3.36